This record from Alexandria via LeMat-Bulk describes a PBEsol-optimized structure of CaLaTc2. The functional is meta-GGA SCAN.

Summary:
**Fermi-level density of states**: 3.57 states/eV/cell
**Formation enthalpy at 0 K**: 688 meV per atom
**Space group**: Immm, No. 71

a b c (Å): 3.338 5.041 5.452
angles (deg): 117.54 107.83 90.00
Atoms (fractional coordinates):
1 Ca 0.500 0.000 0.000
2 Tc 0.732 0.732 0.464
3 Tc 0.268 0.268 0.536
4 La 0.000 0.500 0.000


This record from Alexandria via LeMat-Bulk describes a PBEsol-optimized structure of AlCdOsW2. The functional is meta-GGA SCAN.

Summary:
**Fermi-level density of states**: 4.72 states/eV/cell
**Formation enthalpy at 0 K**: 1428 meV per atom
**Space group**: P4/mmm, No. 123

a b c (Å): 4.613 4.766 4.766
angles (deg): 90.00 90.00 90.00
Atoms (fractional coordinates):
1 Os 0.000 0.000 0.000
2 Al 0.500 0.000 0.000
3 W 0.000 0.000 0.500
4 W 0.000 0.500 0.000
5 Cd 0.500 0.500 0.500


This record from Alexandria via LeMat-Bulk describes a PBEsol-optimized structure of BeFeAs. The functional is meta-GGA SCAN.

Summary:
**Fermi-level density of states**: 1.60 states/eV/cell
**Formation enthalpy at 0 K**: 315 meV per atom
**Space group**: P-6m2, No. 187

a b c (Å): 2.855 3.801 3.801
angles (deg): 120.00 90.00 90.00
Atoms (fractional coordinates):
1 Be 0.667 0.667 0.333
2 As 0.167 0.000 0.000
3 Fe 0.166 0.333 0.667


This record from Alexandria via LeMat-Bulk describes a PBEsol-optimized structure of TaMoW2. The functional is meta-GGA SCAN.

Summary:
**Distance to the lowest polymorph of the same formula**: 31 meV per atom
**Fermi-level density of states**: 1.94 states/eV/cell
**Formation enthalpy at 0 K**: -95 meV per atom
**Space group**: P4/mmm, No. 123

a b c (Å): 3.169 3.169 6.364
angles (deg): 90.00 90.00 90.00
Atoms (fractional coordinates):
1 Mo 0.500 0.500 0.000
2 W 0.000 0.000 0.756
3 W 0.000 0.000 0.244
4 Ta 0.500 0.500 0.500


This record from Alexandria via LeMat-Bulk describes a PBEsol-optimized structure of CaReW2. The functional is meta-GGA SCAN.

Summary:
**Distance to the lowest polymorph of the same formula**: 65 meV per atom
**Fermi-level density of states**: 3.12 states/eV/cell
**Formation enthalpy at 0 K**: 895 meV per atom
**Space group**: Cmmm, No. 65

a b c (Å): 2.647 5.422 5.447
angles (deg): 119.85 90.00 90.00
Atoms (fractional coordinates):
1 Ca 0.500 0.000 0.000
2 Re 0.500 0.500 0.000
3 W 0.000 0.500 0.500
4 W 0.000 0.000 0.500


This record from Alexandria via LeMat-Bulk describes a PBEsol-optimized structure of BTe2F. The functional is meta-GGA SCAN.

Summary:
**ΔE_f (raw)**: 11 kJ per mole of atoms
**Fermi-level density of states**: 1.86 states/eV/cell
**Space group**: R-3m, No. 166

a b c (Å): 3.392 3.392 7.872
angles (deg): 77.56 77.56 60.00
Atoms (fractional coordinates):
1 B 0.500 0.500 0.500
2 Te 0.899 0.899 0.303
3 Te 0.101 0.101 0.697
4 F 0.000 0.000 0.000


This record from Alexandria via LeMat-Bulk describes a PBEsol-optimized structure of BaSrAu. The functional is meta-GGA SCAN.

Summary:
**Distance to the lowest polymorph of the same formula**: 5 meV per atom
**Fermi-level density of states**: 2.56 states/eV/cell
**Formation enthalpy at 0 K**: -626 meV per atom
**Space group**: I4mm, No. 107

a b c (Å): 3.919 3.919 7.658
angles (deg): 104.83 104.83 90.00
Atoms (fractional coordinates):
1 Sr 0.624 0.624 0.249
2 Au 0.006 0.006 0.011
3 Ba 0.370 0.370 0.740


This record from Alexandria via LeMat-Bulk describes a PBEsol-optimized structure of CaNiSnSe2. The functional is meta-GGA SCAN.

Summary:
**ΔE_f (raw)**: 76 kJ per mole of atoms
**Fermi-level density of states**: 6.53 states/eV/cell
**Space group**: P4/mmm, No. 123

a b c (Å): 5.222 5.222 5.679
angles (deg): 90.00 90.00 90.00
Last column: magnetic moment on the atom in μB.
Atoms (fractional coordinates):
1 Ni 0.500 0.500 0.500  1.20
2 Ca 0.000 0.000 0.000  0.00
3 Sn 0.000 0.000 0.500  0.01
4 Se 0.000 0.500 0.000  0.27
5 Se 0.500 0.000 0.000  0.27